1.
First-principles (PBE) data for TaCr2As after structural relaxation, as listed in the Alexandria database.

Structure (extended XYZ):
```
4
Lattice="1.5245 0.8802 7.5977 -1.5245 0.8802 7.5977 0.0000 -1.7603 7.5977" Properties=species:S:1:pos:R:3 pbc="T T T"
Ta 0.0000 0.0000 0.0000
Cr 0.0000 0.0000 5.5844
Cr 0.0000 0.0000 17.2088
As 0.0000 0.0000 11.3966
```

Values from the calculation:
**Space-group type**: R-3m (166)
**Calculated formation energy**: 0.2799 eV per atom
**D(E_F)**: 1.09 states/eV per atom

---

2.
First-principles (PBE) data for Sm5CdHg2 after structural relaxation, as listed in the Alexandria database.

Structure (extended XYZ):
```
16
Lattice="-4.3076 4.3076 6.3605 4.3076 -4.3076 6.3605 4.3076 4.3076 -6.3605" Properties=species:S:1:pos:R:3 pbc="T T T"
Sm 0.0000 0.0000 0.0000
Sm 5.6248 1.3172 -1.9070
Sm 1.3172 2.9904 -1.9070
Sm 5.6248 1.3172 1.9070
Sm 1.3172 2.9904 1.9070
Sm 0.0000 0.0000 6.3605
Sm 2.9904 1.3172 4.4535
Sm -1.3172 2.9904 4.4535
Sm 2.9904 1.3172 8.2674
Sm -1.3172 2.9904 8.2674
Cd 0.0000 0.0000 3.1802
Cd 0.0000 0.0000 9.5407
Hg 3.0905 1.2171 0.0000
Hg 3.0905 -1.2171 6.3605
Hg 1.2171 5.5246 0.0000
Hg 1.2171 3.0905 6.3605
```

Values from the calculation:
**Space-group type**: I4/mcm (140)
**Calculated formation energy**: -0.2879 eV per atom
**D(E_F)**: 0.91 states/eV per atom
**Excess energy over the best structure of this formula in the dataset**: 0 meV per atom

---

3.
First-principles (PBE) data for Cu2TeCl after structural relaxation, as listed in the Alexandria database.

Structure (extended XYZ):
```
4
Lattice="3.8520 -1.7039 0.0000 3.8520 1.7039 0.0000 -3.8397 0.0000 6.3303" Properties=species:S:1:pos:R:3 pbc="T T T"
Cu -0.3556 0.0000 1.7839
Cu 4.2200 0.0000 4.5464
Te 1.9322 0.0000 3.1652
Cl 3.8520 0.0000 0.0000
```

Values from the calculation:
**Space-group type**: C2/m (12)
**ΔE_f (raw)**: -129 meV/atom
**D(E_F)**: 0.44 states/eV per atom
**Excess energy over the best structure of this formula in the dataset**: 97 meV per atom

---

4.
First-principles (PBE) data for SrAuO2 after structural relaxation, as listed in the Alexandria database.

Structure (extended XYZ):
```
4
Lattice="0.0000 3.0850 3.0850 3.0850 0.0000 3.0850 3.0850 3.0850 0.0000" Properties=species:S:1:pos:R:3 pbc="T T T"
Sr 0.0000 0.0000 0.0000
Au 3.0850 3.0850 3.0850
O 1.5425 1.5425 1.5425
O 4.6275 4.6275 4.6275
```

Values from the calculation:
**Space-group type**: Fm-3m (225)
**ΔE_f (raw)**: -864 meV/atom
**D(E_F)**: 1.19 states/eV per atom

---

Number 2 is which compound?
Sm5CdHg2